{
  "formula": "MoIr2Cl",
  "functional": "PBE-GGA",
  "state": "relaxed",
  "cell": [[3.653, 0.000, 0.000], [0.000, 3.653, 0.000], [0.000, 0.000, 4.892]],
  "species": ["Mo", "Ir", "Ir", "Cl"],
  "fractional_positions": [[0.000, 0.000, 0.000], [0.000, 0.500, 0.500], [0.500, 0.000, 0.500], [0.500, 0.500, 0.000]],
  "n_ef_per_ev_atom": 1.53,
  "e_form_raw_ev_per_atom": 1.070,
  "mass_density_g_cm3": 13.12,
  "dft_energy_ev_per_atom": -6.530,
  "polymorph_energy_mev_per_atom": 864.8,
  "crystal_system": "tetragonal"
}